[1]
This record from Alexandria via LeMat-Bulk describes SmDy2YEr2 after structural relaxation. The functional is PBE.

Cell: 6.6044 17.5566 3.3755 Å, 90.00 90.00 90.00°
Closest atoms and distances in Å follow each position.
Element x y z (fractional)
Sm1 0.0000 0.0000 0.0000  2 Sm 3.38, 4 Dy 3.49, 4 Y 3.71
Sm2 0.5000 0.5000 0.5000  2 Sm 3.38, 4 Dy 3.49, 4 Y 3.71
Dy1 0.2332 0.1503 0.5000  1 Y 3.17, 4 Er 3.34-3.41, 2 Dy 3.38, 2 Sm 3.49
Dy2 0.2668 0.6503 0.0000  1 Y 3.17, 4 Er 3.34-3.41, 2 Dy 3.38, 2 Sm 3.49
Dy3 0.7332 0.3497 0.0000  1 Y 3.17, 4 Er 3.34-3.41, 2 Dy 3.38, 2 Sm 3.49
Dy4 0.7668 0.8497 0.5000  1 Y 3.17, 4 Er 3.34-3.41, 2 Dy 3.38, 2 Sm 3.49
Y1 0.0000 0.5000 0.0000  2 Dy 3.17, 2 Y 3.38, 2 Er 3.54
Y2 0.5000 0.0000 0.5000  2 Dy 3.17, 2 Y 3.38, 2 Er 3.54
Er1 0.2349 0.3190 0.0000  4 Dy 3.34-3.41, 2 Er 3.38, 1 Y 3.54
Er2 0.2651 0.8190 0.5000  4 Dy 3.34-3.41, 2 Er 3.38, 1 Y 3.54
Er3 0.7349 0.1810 0.5000  4 Dy 3.34-3.41, 2 Er 3.38, 1 Y 3.54
Er4 0.7651 0.6810 0.0000  4 Dy 3.34-3.41, 2 Er 3.38, 1 Y 3.54

## Properties
Crystal system: orthorhombic
Magnetic moment, μB per cell: 0.0
E, eV per atom: -4.640
Space group: No. 58
Energy of formation, meV/atom: 278.6

[2]
This record from Alexandria via LeMat-Bulk describes PaMnCl6 after structural relaxation. The functional is PBE.

Cell: 7.1121 7.1121 7.1121 Å, 55.67 55.67 55.67°
Closest atoms and distances in Å follow each position.
Element x y z (fractional)
Pa1 0.0000 0.0000 0.0000  6 Cl 2.66
Mn1 0.5000 0.5000 0.5000  6 Cl 2.54
Cl1 0.1168 0.7436 0.3963  1 Mn 2.54, 1 Pa 2.66
Cl2 0.2564 0.6037 0.8832  1 Mn 2.54, 1 Pa 2.66
Cl3 0.3963 0.1168 0.7436  1 Mn 2.54, 1 Pa 2.66
Cl4 0.6037 0.8832 0.2564  1 Mn 2.54, 1 Pa 2.66
Cl5 0.7436 0.3963 0.1168  1 Mn 2.54, 1 Pa 2.66
Cl6 0.8832 0.2564 0.6037  1 Mn 2.54, 1 Pa 2.66

## Properties
Crystal system: trigonal
Magnetic moment, μB per cell: 4.0
E, eV per atom: -5.268
Space group: No. 148
E_form (uncorrected), eV per atom: -1.550
Energy above the lowest structure with this stoichiometry, eV per atom: 0.0135